Density functional theory data (PBE) for a geometry-optimized SiBrO2F structure.

Formation energy from raw total energies in eV per atom: -0.92
Final energy in eV per atom: -4.692

Cell lengths 3.5580, 3.5580, 4.3360 Å; angles 90.00, 90.00, 90.00 degrees
With the nearest neighbours (Å) after each atom.
Space group P4/mmm (No. 123)
One atom of each set of equivalent atoms:
Si 0.0000 0.0000 0.0000 x1  4 O 1.78
Br 0.5000 0.5000 0.5000 x1  4 F 2.52, 8 O 2.80
O 0.0000 0.5000 0.0000 x2  2 Si 1.78
F 0.0000 0.0000 0.5000 x1  2 Si 2.17